1.
Entry from Alexandria: a geometry-optimized Li2AlTc structure (PBE).

a = 5.2373 Å, b = 5.2373 Å, c = 4.5122 Å
α = 71.68°, β = 71.68°, γ = 29.75°
Sites, in units of the cell vectors:
Al  0.2500  0.2500  0.2500
Li  0.9970  0.9970  0.9936
Li  0.5030  0.5030  0.5064
Tc  0.7500  0.7500  0.7500

Properties
DOS at the Fermi energy	0.64	states/eV/atom
ΔE_f	-43	meV per atom
space-group type	C2/m, No. 12

2.
Entry from Alexandria: a geometry-optimized CsBeRe3 structure (PBE).

a = 4.4508 Å, b = 4.4508 Å, c = 4.4508 Å
α = 90.00°, β = 90.00°, γ = 90.00°
Last column: magnetic moment on the atom in μB.
Sites, in units of the cell vectors:
Cs  0.5000  0.5000  0.5000  0.14
Re  0.0000  0.5000  0.0000  0.82
Re  0.0000  0.0000  0.5000  0.62
Re  0.5000  0.0000  0.0000  0.68
Be  0.0000  0.0000  0.0000  -0.01

Properties
DOS at the Fermi energy	1.35	states/eV/atom
ΔE_f	2154	meV per atom
space-group type	Pm-3m, No. 221
relative energy among the computed polymorphs	0	meV/atom

3.
Entry from Alexandria: a geometry-optimized MgCr2Ni structure (PBE).

a = 3.0174 Å, b = 2.9990 Å, c = 6.7428 Å
α = 63.63°, β = 90.00°, γ = 90.00°
Last column: magnetic moment on the atom in μB.
Sites, in units of the cell vectors:
Cr  0.0000  0.9876  0.0131  1.86
Cr  0.5000  0.2948  0.2049  -2.16
Mg  0.0000  0.4828  0.5169  0.00
Ni  0.5000  0.7348  0.7652  0.32

Properties
DOS at the Fermi energy	0.46	states/eV/atom
ΔE_f	158	meV per atom
space-group type	Pmm2, No. 25

4.
Entry from Alexandria: a geometry-optimized Nd2ZnRh structure (PBE).

a = 4.0772 Å, b = 4.0772 Å, c = 9.8806 Å
α = 78.09°, β = 78.09°, γ = 60.00°
Sites, in units of the cell vectors:
Rh  0.5000  0.5000  0.5000
Zn  0.0000  0.0000  0.0000
Nd  0.1131  0.1131  0.6608
Nd  0.8869  0.8869  0.3392

Properties
DOS at the Fermi energy	1.07	states/eV/atom
ΔE_f	-108	meV per atom
space-group type	R-3m, No. 166